Model one:
A geometry-optimized BaCa structure, computed with PBE.

Results
Theoretical density = 1.5 g cm⁻³
SG = No. 216

Structure (CIF):
```
data_BaCa
_cell_length_a 6.497
_cell_length_b 6.497
_cell_length_c 6.497
_cell_angle_alpha 60.00
_cell_angle_beta 60.00
_cell_angle_gamma 60.00
_space_group_name_H-M_alt 'P 1'
_space_group_IT_number 1
_space_group_name_Hall 'P 1'
loop_
_atom_site_label
_atom_site_type_symbol
_atom_site_fract_x
_atom_site_fract_y
_atom_site_fract_z
Ca1 Ca 0.250 0.250 0.250
Ba1 Ba 0.000 0.000 0.000
```



Model two:
A geometry-optimized BaCa structure, computed with PBE.

Results
Theoretical density = 2.9 g cm⁻³
SG = No. 227

Structure (CIF):
```
data_BaCa
_cell_length_a 6.606
_cell_length_b 6.606
_cell_length_c 6.606
_cell_angle_alpha 60.01
_cell_angle_beta 60.01
_cell_angle_gamma 60.01
_space_group_name_H-M_alt 'P 1'
_space_group_IT_number 1
_space_group_name_Hall 'P 1'
loop_
_atom_site_label
_atom_site_type_symbol
_atom_site_fract_x
_atom_site_fract_y
_atom_site_fract_z
Ca1 Ca 0.125 0.125 0.125
Ca2 Ca 0.875 0.875 0.875
Ba1 Ba 0.375 0.375 0.375
Ba2 Ba 0.625 0.625 0.625
```



Model three:
A geometry-optimized BaCa structure, computed with PBE.

Results
Theoretical density = 2.7 g cm⁻³
SG = No. 225

Structure (CIF):
```
data_BaCa
_cell_length_a 5.395
_cell_length_b 5.395
_cell_length_c 5.395
_cell_angle_alpha 60.00
_cell_angle_beta 60.00
_cell_angle_gamma 60.00
_space_group_name_H-M_alt 'P 1'
_space_group_IT_number 1
_space_group_name_Hall 'P 1'
loop_
_atom_site_label
_atom_site_type_symbol
_atom_site_fract_x
_atom_site_fract_y
_atom_site_fract_z
Ca1 Ca 0.500 0.500 0.500
Ba1 Ba 0.000 0.000 0.000
```



Model four:
A geometry-optimized BaCa structure, computed with PBE.

Results
Theoretical density = 1.2 g cm⁻³
SG = No. 223

Structure (CIF):
```
data_BaCa
_cell_length_a 11.415
_cell_length_b 11.415
_cell_length_c 11.415
_cell_angle_alpha 90.00
_cell_angle_beta 90.00
_cell_angle_gamma 90.00
_space_group_name_H-M_alt 'P 1'
_space_group_IT_number 1
_space_group_name_Hall 'P 1'
loop_
_atom_site_label
_atom_site_type_symbol
_atom_site_fract_x
_atom_site_fract_y
_atom_site_fract_z
Ba1 Ba 0.250 0.500 0.000
Ba2 Ba 0.750 0.500 0.000
Ba3 Ba 0.500 0.000 0.250
Ba4 Ba 0.500 0.000 0.750
Ba5 Ba 0.000 0.250 0.500
Ba6 Ba 0.000 0.750 0.500
Ca1 Ca 0.250 0.000 0.500
Ca2 Ca 0.750 0.000 0.500
Ca3 Ca 0.000 0.500 0.250
Ca4 Ca 0.000 0.500 0.750
Ca5 Ca 0.500 0.250 0.000
Ca6 Ca 0.500 0.750 0.000
```



Most stable pick: model two. Distance to second place: 0.355 eV/atom.



Model one:
A geometry-optimized BaCa structure, computed with PBE.

Results
Theoretical density = 2.8 g cm⁻³
SG = No. 19

Structure (CIF):
```
data_BaCa
_cell_length_a 7.275
_cell_length_b 8.378
_cell_length_c 13.695
_cell_angle_alpha 90.00
_cell_angle_beta 90.00
_cell_angle_gamma 90.00
_space_group_name_H-M_alt 'P 1'
_space_group_IT_number 1
_space_group_name_Hall 'P 1'
loop_
_atom_site_label
_atom_site_type_symbol
_atom_site_fract_x
_atom_site_fract_y
_atom_site_fract_z
Ba1 Ba 0.668 0.116 0.996
Ba2 Ba 0.168 0.384 0.004
Ba3 Ba 0.332 0.616 0.504
Ba4 Ba 0.832 0.884 0.496
Ba5 Ba 0.994 0.627 0.753
Ba6 Ba 0.494 0.873 0.247
Ba7 Ba 0.006 0.127 0.747
Ba8 Ba 0.506 0.373 0.253
Ca1 Ca 0.165 0.874 0.006
Ca2 Ca 0.665 0.626 0.994
Ca3 Ca 0.835 0.374 0.494
Ca4 Ca 0.335 0.126 0.506
Ca5 Ca 0.509 0.372 0.746
Ca6 Ca 0.009 0.128 0.254
Ca7 Ca 0.491 0.872 0.754
Ca8 Ca 0.991 0.628 0.246
```



Model two:
A geometry-optimized BaCa structure, computed with PBE.

Results
Theoretical density = 2.9 g cm⁻³
SG = No. 194

Structure (CIF):
```
data_BaCa
_cell_length_a 4.161
_cell_length_b 4.161
_cell_length_c 13.782
_cell_angle_alpha 90.00
_cell_angle_beta 90.00
_cell_angle_gamma 120.00
_space_group_name_H-M_alt 'P 1'
_space_group_IT_number 1
_space_group_name_Hall 'P 1'
loop_
_atom_site_label
_atom_site_type_symbol
_atom_site_fract_x
_atom_site_fract_y
_atom_site_fract_z
Ca1 Ca 0.333 0.667 0.250
Ca2 Ca 0.667 0.333 0.750
Ba1 Ba 0.000 0.000 0.000
Ba2 Ba 0.000 0.000 0.500
```



Model three:
A geometry-optimized BaCa structure, computed with PBE.

Results
Theoretical density = 2.8 g cm⁻³
SG = No. 221

Structure (CIF):
```
data_BaCa
_cell_length_a 4.720
_cell_length_b 4.720
_cell_length_c 4.720
_cell_angle_alpha 90.00
_cell_angle_beta 90.00
_cell_angle_gamma 90.00
_space_group_name_H-M_alt 'P 1'
_space_group_IT_number 1
_space_group_name_Hall 'P 1'
loop_
_atom_site_label
_atom_site_type_symbol
_atom_site_fract_x
_atom_site_fract_y
_atom_site_fract_z
Ca1 Ca 0.000 0.000 0.000
Ba1 Ba 0.500 0.500 0.500
```



Most stable pick: model three. Distance to second place: 0.010 eV/atom.



Model one:
A geometry-optimized BaCa structure, computed with PBE.

Results
Theoretical density = 2.7 g cm⁻³
SG = No. 87

Structure (CIF):
```
data_BaCa
_cell_length_a 14.765
_cell_length_b 14.765
_cell_length_c 3.984
_cell_angle_alpha 90.00
_cell_angle_beta 90.00
_cell_angle_gamma 90.00
_space_group_name_H-M_alt 'P 1'
_space_group_IT_number 1
_space_group_name_Hall 'P 1'
loop_
_atom_site_label
_atom_site_type_symbol
_atom_site_fract_x
_atom_site_fract_y
_atom_site_fract_z
Ba1 Ba 0.382 0.330 0.000
Ba2 Ba 0.618 0.670 0.000
Ba3 Ba 0.670 0.382 0.000
Ba4 Ba 0.330 0.618 0.000
Ba5 Ba 0.882 0.830 0.500
Ba6 Ba 0.118 0.170 0.500
Ba7 Ba 0.170 0.882 0.500
Ba8 Ba 0.830 0.118 0.500
Ca1 Ca 0.423 0.868 0.000
Ca2 Ca 0.577 0.132 0.000
Ca3 Ca 0.132 0.423 0.000
Ca4 Ca 0.868 0.577 0.000
Ca5 Ca 0.923 0.368 0.500
Ca6 Ca 0.077 0.632 0.500
Ca7 Ca 0.632 0.923 0.500
Ca8 Ca 0.368 0.077 0.500
```



Model two:
A geometry-optimized BaCa structure, computed with PBE.

Results
Theoretical density = 2.7 g cm⁻³
SG = No. 176

Structure (CIF):
```
data_BaCa
_cell_length_a 13.898
_cell_length_b 13.898
_cell_length_c 3.972
_cell_angle_alpha 90.00
_cell_angle_beta 90.00
_cell_angle_gamma 120.00
_space_group_name_H-M_alt 'P 1'
_space_group_IT_number 1
_space_group_name_Hall 'P 1'
loop_
_atom_site_label
_atom_site_type_symbol
_atom_site_fract_x
_atom_site_fract_y
_atom_site_fract_z
Ba1 Ba 0.940 0.239 0.250
Ba2 Ba 0.701 0.940 0.750
Ba3 Ba 0.761 0.701 0.250
Ba4 Ba 0.060 0.761 0.750
Ba5 Ba 0.299 0.060 0.250
Ba6 Ba 0.239 0.299 0.750
Ca1 Ca 0.614 0.146 0.250
Ca2 Ca 0.467 0.614 0.750
Ca3 Ca 0.854 0.467 0.250
Ca4 Ca 0.386 0.854 0.750
Ca5 Ca 0.533 0.386 0.250
Ca6 Ca 0.146 0.533 0.750
```



Most stable pick: model one. Distance to second place: 0.057 eV/atom.



Model one:
A geometry-optimized BaCa2 structure, computed with PBE.

Results
Theoretical density = 2.4 g cm⁻³
SG = No. 194

Structure (CIF):
```
data_BaCa2
_cell_length_a 7.523
_cell_length_b 7.523
_cell_length_c 12.533
_cell_angle_alpha 90.00
_cell_angle_beta 90.00
_cell_angle_gamma 120.00
_space_group_name_H-M_alt 'P 1'
_space_group_IT_number 1
_space_group_name_Hall 'P 1'
loop_
_atom_site_label
_atom_site_type_symbol
_atom_site_fract_x
_atom_site_fract_y
_atom_site_fract_z
Ba1 Ba 0.333 0.667 0.063
Ba2 Ba 0.667 0.333 0.563
Ba3 Ba 0.667 0.333 0.937
Ba4 Ba 0.333 0.667 0.437
Ca1 Ca 0.000 0.000 0.000
Ca2 Ca 0.000 0.000 0.500
Ca3 Ca 0.832 0.665 0.250
Ca4 Ca 0.168 0.335 0.750
Ca5 Ca 0.335 0.168 0.250
Ca6 Ca 0.832 0.168 0.250
Ca7 Ca 0.168 0.832 0.750
Ca8 Ca 0.665 0.832 0.750
```



Model two:
A geometry-optimized BaCa2 structure, computed with PBE.

Results
Theoretical density = 2.5 g cm⁻³
SG = No. 139

Structure (CIF):
```
data_BaCa2
_cell_length_a 9.007
_cell_length_b 9.007
_cell_length_c 9.007
_cell_angle_alpha 153.34
_cell_angle_beta 153.34
_cell_angle_gamma 38.06
_space_group_name_H-M_alt 'P 1'
_space_group_IT_number 1
_space_group_name_Hall 'P 1'
loop_
_atom_site_label
_atom_site_type_symbol
_atom_site_fract_x
_atom_site_fract_y
_atom_site_fract_z
Ca1 Ca 0.324 0.324 0.000
Ca2 Ca 0.676 0.676 0.000
Ba1 Ba 0.000 0.000 0.000
```



Most stable pick: model one. Distance to second place: 0.014 eV/atom.



Model one:
A geometry-optimized BaCa2 structure, computed with PBE.

Results
Theoretical density = 2.3 g cm⁻³
SG = No. 227

Structure (CIF):
```
data_BaCa2
_cell_length_a 7.585
_cell_length_b 7.585
_cell_length_c 7.585
_cell_angle_alpha 60.00
_cell_angle_beta 60.00
_cell_angle_gamma 60.00
_space_group_name_H-M_alt 'P 1'
_space_group_IT_number 1
_space_group_name_Hall 'P 1'
loop_
_atom_site_label
_atom_site_type_symbol
_atom_site_fract_x
_atom_site_fract_y
_atom_site_fract_z
Ba1 Ba 0.875 0.875 0.375
Ba2 Ba 0.125 0.125 0.625
Ca1 Ca 0.500 0.500 0.500
Ca2 Ca 0.000 0.500 0.000
Ca3 Ca 0.500 0.000 0.000
Ca4 Ca 0.500 0.500 0.000
```



Model two:
A geometry-optimized BaCa2 structure, computed with PBE.

Results
Theoretical density = 2.5 g cm⁻³
SG = No. 71

Structure (CIF):
```
data_BaCa2
_cell_length_a 7.148
_cell_length_b 7.148
_cell_length_c 7.148
_cell_angle_alpha 146.01
_cell_angle_beta 133.80
_cell_angle_gamma 58.58
_space_group_name_H-M_alt 'P 1'
_space_group_IT_number 1
_space_group_name_Hall 'P 1'
loop_
_atom_site_label
_atom_site_type_symbol
_atom_site_fract_x
_atom_site_fract_y
_atom_site_fract_z
Ca1 Ca 0.327 0.327 0.000
Ca2 Ca 0.673 0.673 0.000
Ba1 Ba 0.000 0.000 0.000
```



Most stable pick: model one. Distance to second place: 0.011 eV/atom.



Model one:
A geometry-optimized BaCa2 structure, computed with PBE.

Results
Theoretical density = 2.5 g cm⁻³
SG = No. 8

Structure (CIF):
```
data_BaCa2
_cell_length_a 7.905
_cell_length_b 7.905
_cell_length_c 9.747
_cell_angle_alpha 75.17
_cell_angle_beta 75.17
_cell_angle_gamma 29.69
_space_group_name_H-M_alt 'P 1'
_space_group_IT_number 1
_space_group_name_Hall 'P 1'
loop_
_atom_site_label
_atom_site_type_symbol
_atom_site_fract_x
_atom_site_fract_y
_atom_site_fract_z
Ba1 Ba 0.003 0.003 0.993
Ba2 Ba 0.330 0.330 0.340
Ca1 Ca 0.667 0.667 0.665
Ca2 Ca 0.610 0.610 0.284
Ca3 Ca 0.949 0.949 0.614
Ca4 Ca 0.274 0.274 0.937
```



Model two:
A geometry-optimized BaCa2 structure, computed with PBE.

Results
Theoretical density = 2.0 g cm⁻³
SG = No. 225

Structure (CIF):
```
data_BaCa2
_cell_length_a 6.347
_cell_length_b 6.347
_cell_length_c 6.347
_cell_angle_alpha 60.00
_cell_angle_beta 60.00
_cell_angle_gamma 60.00
_space_group_name_H-M_alt 'P 1'
_space_group_IT_number 1
_space_group_name_Hall 'P 1'
loop_
_atom_site_label
_atom_site_type_symbol
_atom_site_fract_x
_atom_site_fract_y
_atom_site_fract_z
Ca1 Ca 0.750 0.750 0.750
Ca2 Ca 0.250 0.250 0.250
Ba1 Ba 0.000 0.000 0.000
```



Model three:
A geometry-optimized BaCa2 structure, computed with PBE.

Results
Theoretical density = 2.3 g cm⁻³
SG = No. 141

Structure (CIF):
```
data_BaCa2
_cell_length_a 13.387
_cell_length_b 13.387
_cell_length_c 13.387
_cell_angle_alpha 158.66
_cell_angle_beta 158.66
_cell_angle_gamma 30.35
_space_group_name_H-M_alt 'P 1'
_space_group_IT_number 1
_space_group_name_Hall 'P 1'
loop_
_atom_site_label
_atom_site_type_symbol
_atom_site_fract_x
_atom_site_fract_y
_atom_site_fract_z
Ba1 Ba 0.000 0.000 0.000
Ba2 Ba 0.750 0.250 0.500
Ca1 Ca 0.575 0.575 0.000
Ca2 Ca 0.175 0.675 0.500
Ca3 Ca 0.425 0.425 0.000
Ca4 Ca 0.325 0.825 0.500
```



Model four:
A geometry-optimized BaCa2 structure, computed with PBE.

Results
Theoretical density = 2.1 g cm⁻³
SG = No. 123

Structure (CIF):
```
data_BaCa2
_cell_length_a 4.981
_cell_length_b 4.981
_cell_length_c 6.811
_cell_angle_alpha 90.00
_cell_angle_beta 90.00
_cell_angle_gamma 90.00
_space_group_name_H-M_alt 'P 1'
_space_group_IT_number 1
_space_group_name_Hall 'P 1'
loop_
_atom_site_label
_atom_site_type_symbol
_atom_site_fract_x
_atom_site_fract_y
_atom_site_fract_z
Ca1 Ca 0.000 0.500 0.500
Ca2 Ca 0.500 0.000 0.500
Ba1 Ba 0.000 0.000 0.000
```



Most stable pick: model one. Distance to second place: 0.191 eV/atom.



Model one:
A geometry-optimized BaCa6 structure, computed with PBE.

Results
Theoretical density = 1.8 g cm⁻³
SG = No. 123

Structure (CIF):
```
data_BaCa6
_cell_length_a 5.947
_cell_length_b 5.947
_cell_length_c 9.688
_cell_angle_alpha 90.00
_cell_angle_beta 90.00
_cell_angle_gamma 90.00
_space_group_name_H-M_alt 'P 1'
_space_group_IT_number 1
_space_group_name_Hall 'P 1'
loop_
_atom_site_label
_atom_site_type_symbol
_atom_site_fract_x
_atom_site_fract_y
_atom_site_fract_z
Ba1 Ba 0.000 0.000 0.000
Ca1 Ca 0.000 0.000 0.500
Ca2 Ca 0.500 0.500 0.000
Ca3 Ca 0.500 0.000 0.722
Ca4 Ca 0.000 0.500 0.278
Ca5 Ca 0.500 0.000 0.278
Ca6 Ca 0.000 0.500 0.722
```



Model two:
A geometry-optimized BaCa6 structure, computed with PBE.

Results
Theoretical density = 2.0 g cm⁻³
SG = No. 148

Structure (CIF):
```
data_BaCa6
_cell_length_a 3.853
_cell_length_b 9.718
_cell_length_c 9.718
_cell_angle_alpha 118.28
_cell_angle_beta 97.60
_cell_angle_gamma 97.60
_space_group_name_H-M_alt 'P 1'
_space_group_IT_number 1
_space_group_name_Hall 'P 1'
loop_
_atom_site_label
_atom_site_type_symbol
_atom_site_fract_x
_atom_site_fract_y
_atom_site_fract_z
Ba1 Ba 0.500 0.000 0.000
Ca1 Ca 0.659 0.564 0.857
Ca2 Ca 0.802 0.143 0.707
Ca3 Ca 0.904 0.707 0.564
Ca4 Ca 0.096 0.293 0.436
Ca5 Ca 0.198 0.857 0.293
Ca6 Ca 0.341 0.436 0.143
```



Most stable pick: model two. Distance to second place: 0.144 eV/atom.



Model one:
A geometry-optimized Ba4Ca5 structure, computed with PBE.

Results
Theoretical density = 2.7 g cm⁻³
SG = No. 139

Structure (CIF):
```
data_Ba4Ca5
_cell_length_a 9.929
_cell_length_b 9.929
_cell_length_c 9.929
_cell_angle_alpha 93.52
_cell_angle_beta 93.52
_cell_angle_gamma 151.31
_space_group_name_H-M_alt 'P 1'
_space_group_IT_number 1
_space_group_name_Hall 'P 1'
loop_
_atom_site_label
_atom_site_type_symbol
_atom_site_fract_x
_atom_site_fract_y
_atom_site_fract_z
Ba1 Ba 0.676 0.000 0.676
Ba2 Ba 0.324 0.000 0.324
Ba3 Ba 0.000 0.324 0.324
Ba4 Ba 0.000 0.676 0.676
Ca1 Ca 0.000 0.000 0.000
Ca2 Ca 0.665 0.335 0.000
Ca3 Ca 0.335 0.665 0.000
Ca4 Ca 0.335 0.335 0.669
Ca5 Ca 0.665 0.665 0.331
```



Model two:
A geometry-optimized Ba4Ca5 structure, computed with PBE.

Results
Theoretical density = 2.7 g cm⁻³
SG = No. 193

Structure (CIF):
```
data_Ba4Ca5
_cell_length_a 11.541
_cell_length_b 11.541
_cell_length_c 7.913
_cell_angle_alpha 90.00
_cell_angle_beta 90.00
_cell_angle_gamma 120.00
_space_group_name_H-M_alt 'P 1'
_space_group_IT_number 1
_space_group_name_Hall 'P 1'
loop_
_atom_site_label
_atom_site_type_symbol
_atom_site_fract_x
_atom_site_fract_y
_atom_site_fract_z
Ba1 Ba 0.000 0.000 0.000
Ba2 Ba 0.000 0.000 0.500
Ba3 Ba 0.000 0.327 0.250
Ba4 Ba 0.673 0.673 0.250
Ba5 Ba 0.327 0.000 0.250
Ba6 Ba 0.000 0.673 0.750
Ba7 Ba 0.327 0.327 0.750
Ba8 Ba 0.673 0.000 0.750
Ca1 Ca 0.000 0.653 0.250
Ca2 Ca 0.347 0.347 0.250
Ca3 Ca 0.653 0.000 0.250
Ca4 Ca 0.000 0.347 0.750
Ca5 Ca 0.653 0.653 0.750
Ca6 Ca 0.347 0.000 0.750
Ca7 Ca 0.667 0.333 0.000
Ca8 Ca 0.333 0.667 0.500
Ca9 Ca 0.333 0.667 0.000
Ca10 Ca 0.667 0.333 0.500
```



Most stable pick: model one. Distance to second place: 0.033 eV/atom.